[1]
Ce2Nd3DySe6 after structural relaxation, computed with PBE.

Properties
- Energy: -6.13 eV per atom
- N(E_F): 29.546 states/eV/cell
- Total magnetic moment: 0.153 μB/atom
- Formation energy (no corrections): -1.823 eV per atom

a b c (Å): 7.252 12.581 7.283
angles (deg): 90.00 109.47 90.00
Space group C2/m (No. 12)
Symmetry-distinct sites (fractional):
Ce (0.000, 0.166, 0.000) x4
Nd (0.000, 0.000, 0.500) x2
Nd (0.000, 0.332, 0.500) x4
Dy (0.000, 0.500, 0.000) x2
Se (0.245, 0.336, 0.243) x8
Se (0.246, 0.500, 0.755) x4



[2]
CeNd2DySe5 after structural relaxation, computed with PBE.

Properties
- Energy: -5.44 eV per atom
- N(E_F): 12.157 states/eV/cell
- Total magnetic moment: 0.157 μB/atom
- Formation energy (no corrections): -1.277 eV per atom

a b c (Å): 5.161 5.161 11.047
angles (deg): 90.00 90.00 90.00
Space group P4/mmm (No. 123)
Symmetry-distinct sites (fractional):
Ce (0.000, 0.000, 0.000) x1
Nd (0.500, 0.500, 0.333) x2
Dy (0.000, 0.000, 0.500) x1
Se (0.000, 0.000, 0.252) x2
Se (0.000, 0.500, 0.500) x2
Se (0.500, 0.500, 0.000) x1



[3]
CeNdSmDy after structural relaxation, computed with PBE.

Properties
- Energy: -4.81 eV per atom
- DFT formation energy: 0.199 eV per atom
- N(E_F): 40.721 states/eV/cell
- Total magnetic moment: 0.816 μB/atom

a b c (Å): 8.118 8.118 8.118
angles (deg): 90.00 90.00 90.00
Space group F-43m (No. 216)
Symmetry-distinct sites (fractional):
Ce (0.000, 0.000, 0.000) x4
Nd (0.250, 0.250, 0.750) x4
Sm (0.250, 0.250, 0.250) x4
Dy (0.000, 0.000, 0.500) x4



Q: What is the total magnetic moment in the first record?
A: 0.153 μB/atom